Below is a relaxed Mn3O2F4 crystal, with properties calculated at the GGA+U level.

Crystal system: triclinic
Space group: No. 1
Total energy in eV/cell: -118.8
Calculated density in Mg/m³: 4.15
Polymorph energy (0 for the lowest one) in meV/atom: 21.6

```
18
Lattice="-1.2639 3.3025 4.5022 -3.4842 -3.1569 3.4118 4.2070 -2.3396 5.4624" Properties=species:S:1:pos:R:3 pbc="T T T"
Mn -0.8561 -0.4541 3.3591
Mn -1.7261 -0.5259 7.0704
Mn 1.2132 -1.5603 6.4953
Mn 0.3406 -1.8234 9.8635
Mn 2.0076 -1.2030 2.7847
Mn 2.9469 0.9252 9.9139
O -3.4768 0.0783 6.2695
O 2.9653 -2.3114 7.0383
O -0.0428 -1.3135 7.9913
O -1.0830 1.3174 7.3531
F -2.3701 -2.4957 6.7867
F 0.4536 -3.5381 6.0212
F 2.3657 -1.6822 4.7270
F -0.4085 -0.8341 5.3287
F -3.0145 -0.4834 8.7752
F 1.9159 0.4538 6.6253
F 1.3304 -3.5140 9.2179
F -1.8428 1.2060 4.0859
```